Material: CeNdMgTc
Method: DFT, PBE
State: optimized geometry

a b c (Å): 5.1366 5.1366 5.1366
angles (deg): 60.00 60.00 60.00
Sites, in units of the cell vectors:
Tc  0.5000  0.5000  0.5000
Nd  0.2500  0.2500  0.2500
Mg  0.0000  0.0000  0.0000
Ce  0.7500  0.7500  0.7500

Properties
The formation energy from the elements comes out at 0.11 eV/atom. For the magnetization, the calculation gives 0.00 μB/cell. As for the symmetry: F-43m (216).

Material: Ce3Nd3MgTe8
Method: DFT, PBE
State: optimized geometry

a b c (Å): 8.9471 8.9472 8.9760
angles (deg): 119.88 90.00 120.01
Sites, in units of the cell vectors:
Ce  0.5000  0.5000  0.5000
Ce  0.5000  0.0000  0.5000
Ce  0.0000  0.5000  0.5000
Te  0.2422  0.0000  0.2580
Te  0.7578  0.0000  0.7420
Te  0.7578  0.5156  0.2578
Te  0.7580  0.0000  0.2581
Te  0.2501  0.5002  0.2503
Te  0.7499  0.4998  0.7497
Te  0.2422  0.4844  0.7422
Te  0.2420  0.0000  0.7419
Nd  0.0000  0.5000  0.0000
Nd  0.0000  0.0000  0.0000
Nd  0.5000  0.5000  0.0000
Mg  0.0000  0.0000  0.5000

Properties
For the uncorrected formation energy, the calculation gives -1324 meV/atom. For the magnetization, the calculation gives 3.34 μB/cell. As for the symmetry: R-3m (166).

Material: CeNdTmMg
Method: DFT, PBE
State: optimized geometry

a b c (Å): 5.5405 5.5405 5.5405
angles (deg): 60.00 60.00 60.00
Sites, in units of the cell vectors:
Nd  0.7500  0.7500  0.7500
Ce  0.2500  0.2500  0.2500
Mg  0.0000  0.0000  0.0000
Tm  0.5000  0.5000  0.5000

Properties
The formation energy from the elements comes out at 0.08 eV/atom. For the magnetization, the calculation gives 1.21 μB/cell. As for the symmetry: F-43m (216).

Material: CeNdMgZr
Method: DFT, PBE
State: optimized geometry

a b c (Å): 5.3704 5.3704 5.3704
angles (deg): 60.00 60.00 60.00
Sites, in units of the cell vectors:
Mg  0.0000  0.0000  0.0000
Nd  0.7500  0.7500  0.7500
Ce  0.2500  0.2500  0.2500
Zr  0.5000  0.5000  0.5000

Properties
The formation energy from the elements comes out at 0.16 eV/atom. For the magnetization, the calculation gives 0.25 μB/cell. As for the symmetry: F-43m (216).